(1)
Na2TlHg2Bi: relaxed, PBE.

Cell and atoms, written as POSCAR:
```
Na2TlHg2Bi
1.0
7.9261 0.0000 0.0000
0.0000 5.8840 0.0000
-2.3491 0.0000 7.8394
Na Tl Hg Bi
4 2 4 2
direct
0.0599 0.2500 0.1550 Na
0.3831 0.7500 0.9463 Na
0.6169 0.2500 0.0537 Na
0.9401 0.7500 0.8450 Na
0.1625 0.7500 0.5217 Tl
0.8375 0.2500 0.4783 Tl
0.4281 0.5032 0.3006 Hg
0.4281 0.9968 0.3006 Hg
0.5719 0.0032 0.6994 Hg
0.5719 0.4968 0.6994 Hg
0.1867 0.2500 0.8008 Bi
0.8133 0.7500 0.1992 Bi
```

calculated density	7.8	Mg/m³
formation enthalpy at 0 K	-83	kJ/mol of formula units
SG	P2_1/m, No. 11
uncorrected energy	-1.7242	eV/atom

=====

(2)
U2Fe3Au2: relaxed, PBE.

Cell and atoms, written as POSCAR:
```
U2Fe3Au2
1.0
5.7964 -2.2527 0.0000
5.7964 2.2527 0.0000
-0.7339 0.0000 4.6481
U Fe Au
2 3 2
direct
0.1469 0.1469 0.3775 U
0.8531 0.8531 0.6225 U
0.0000 0.0000 0.0000 Fe
0.2062 0.2062 0.8192 Fe
0.7938 0.7938 0.1808 Fe
0.4141 0.4141 0.1873 Au
0.5859 0.5859 0.8127 Au
```

calculated density	14.2	Mg/m³
formation enthalpy at 0 K	-80	kJ/mol of formula units
SG	C2/m, No. 12
uncorrected energy	-7.9066	eV/atom

=====

(3)
La4YMg3: relaxed, PBE.

Cell and atoms, written as POSCAR:
```
La4YMg3
1.0
3.9199 0.0000 0.0000
0.0000 3.9199 0.0000
0.0000 0.0000 16.8042
La Y Mg
4 1 3
direct
0.0000 0.0000 0.1186 La
0.0000 0.0000 0.3571 La
0.0000 0.0000 0.6429 La
0.0000 0.0000 0.8814 La
0.5000 0.5000 0.5000 Y
0.5000 0.5000 0.0000 Mg
0.5000 0.5000 0.2386 Mg
0.5000 0.5000 0.7614 Mg
```

calculated density	4.6	Mg/m³
formation enthalpy at 0 K	-54	kJ/mol of formula units
SG	P4/mmm, No. 123
uncorrected energy	-3.9394	eV/atom

=====

(4)
SrFeOs: relaxed, PBE.

Cell and atoms, written as POSCAR:
```
SrFeOs
1.0
-2.6162 2.7968 3.9006
2.6162 -2.7968 3.9006
2.6162 2.7968 -3.9006
Sr Fe Os
2 2 2
direct
0.3729 0.1229 0.2500 Sr
0.6271 0.8771 0.7500 Sr
0.0000 0.5000 0.5000 Fe
0.5000 0.5000 0.0000 Fe
0.0000 0.0000 0.5000 Os
0.0000 0.5000 0.0000 Os
```

calculated density	9.7	Mg/m³
formation enthalpy at 0 K	115	kJ/mol of formula units
SG	Imma, No. 74
ΔE to the lowest computed polymorph	112.7	meV per atom
uncorrected energy	-6.7289	eV/atom